# 1
The following is a DFT calculation (PBE-GGA) of an optimized crystal structure of SbPPdCl2.

Formation energy without anion corrections (kJ/mol of formula units): 99
DOS at the Fermi energy (states/eV per cell): 3.25
Space group: P4/mmm (123)
Calculated total energy (eV for the cell shown): -17.39
Theoretical density (Mg/m³): 4.932

Unit cell a=4.7273 b=4.9721 c=4.7273 alpha=90.00 beta=90.00 gamma=90.00
Sites, in units of the cell vectors:
Sb 0.5000 0.5000 0.5000
P 0.0000 0.5000 0.0000
Pd 0.0000 0.0000 0.0000
Cl 0.0000 0.0000 0.5000
Cl 0.5000 0.0000 0.0000

***

# 2
The following is a DFT calculation (PBE-GGA) of an optimized crystal structure of SbP2PdCl.

Formation energy without anion corrections (kJ/mol of formula units): 226
DOS at the Fermi energy (states/eV per cell): 4.53
Space group: P4/mmm (123)
Calculated total energy (eV for the cell shown): -19.64
Theoretical density (Mg/m³): 5.038

Unit cell a=4.7442 b=4.7442 c=4.7680 alpha=90.00 beta=90.00 gamma=90.00
Sites, in units of the cell vectors:
Sb 0.5000 0.5000 0.5000
P 0.0000 0.5000 0.0000
P 0.5000 0.0000 0.0000
Pd 0.0000 0.0000 0.0000
Cl 0.0000 0.0000 0.5000

***

# 3
The following is a DFT calculation (PBE-GGA) of an optimized crystal structure of ScPPdCl2.

Formation energy without anion corrections (kJ/mol of formula units): -173
DOS at the Fermi energy (states/eV per cell): 4.44
Space group: P4/mmm (123)
Calculated total energy (eV for the cell shown): -22.42
Theoretical density (Mg/m³): 3.420

Unit cell a=4.7835 b=4.7835 c=5.3731 alpha=90.00 beta=90.00 gamma=90.00
Last column: magnetic moment on the atom in μB.
Sites, in units of the cell vectors:
Sc 0.0000 0.0000 0.0000  0.00
P 0.0000 0.0000 0.5000  0.24
Pd 0.5000 0.5000 0.5000  0.28
Cl 0.0000 0.5000 0.0000  0.04
Cl 0.5000 0.0000 0.0000  0.04

***

# 4
The following is a DFT calculation (PBE-GGA) of an optimized crystal structure of ScPPdCl2.

Formation energy without anion corrections (kJ/mol of formula units): -92
DOS at the Fermi energy (states/eV per cell): 1.77
Space group: P4/mmm (123)
Calculated total energy (eV for the cell shown): -21.58
Theoretical density (Mg/m³): 3.858

Unit cell a=4.6923 b=4.6923 c=4.9508 alpha=90.00 beta=90.00 gamma=90.00
Last column: magnetic moment on the atom in μB.
Sites, in units of the cell vectors:
Sc 0.5000 0.5000 0.5000  0.17
P 0.0000 0.0000 0.5000  -0.02
Pd 0.0000 0.0000 0.0000  -0.01
Cl 0.0000 0.5000 0.0000  -0.01
Cl 0.5000 0.0000 0.0000  -0.01

***

# 5
The following is a DFT calculation (PBE-GGA) of an optimized crystal structure of ScP2PdCl.

Formation energy without anion corrections (kJ/mol of formula units): 112
DOS at the Fermi energy (states/eV per cell): 4.17
Space group: P4/mmm (123)
Calculated total energy (eV for the cell shown): -23.03
Theoretical density (Mg/m³): 3.467

Unit cell a=4.9993 b=4.9993 c=4.7674 alpha=90.00 beta=90.00 gamma=90.00
Sites, in units of the cell vectors:
Sc 0.0000 0.0000 0.0000
P 0.0000 0.5000 0.0000
P 0.5000 0.0000 0.0000
Pd 0.5000 0.5000 0.5000
Cl 0.0000 0.0000 0.5000

***

# 6
The following is a DFT calculation (PBE-GGA) of an optimized crystal structure of ScP2PdCl.

Formation energy without anion corrections (kJ/mol of formula units): 22
DOS at the Fermi energy (states/eV per cell): 2.58
Space group: P4/mmm (123)
Calculated total energy (eV for the cell shown): -23.96
Theoretical density (Mg/m³): 3.952

Unit cell a=4.6517 b=4.6517 c=4.8308 alpha=90.00 beta=90.00 gamma=90.00
Sites, in units of the cell vectors:
Sc 0.5000 0.5000 0.5000
P 0.0000 0.5000 0.0000
P 0.5000 0.0000 0.0000
Pd 0.0000 0.0000 0.0000
Cl 0.0000 0.0000 0.5000

***

# 7
The following is a DFT calculation (PBE-GGA) of an optimized crystal structure of SnP2PdCl.

Formation energy without anion corrections (kJ/mol of formula units): 176
DOS at the Fermi energy (states/eV per cell): 5.02
Space group: P4/mmm (123)
Calculated total energy (eV for the cell shown): -20.04
Theoretical density (Mg/m³): 4.810

Unit cell a=4.6943 b=4.6943 c=5.0527 alpha=90.00 beta=90.00 gamma=90.00
Last column: magnetic moment on the atom in μB.
Sites, in units of the cell vectors:
P 0.0000 0.5000 0.0000  0.16
P 0.5000 0.0000 0.0000  0.16
Sn 0.5000 0.5000 0.5000  0.02
Pd 0.0000 0.0000 0.0000  0.12
Cl 0.0000 0.0000 0.5000  0.04

***

# 8
The following is a DFT calculation (PBE-GGA) of an optimized crystal structure of SrP2PdCl.

Formation energy without anion corrections (kJ/mol of formula units): 417
DOS at the Fermi energy (states/eV per cell): 8.40
Space group: P4/mmm (123)
Calculated total energy (eV for the cell shown): -15.21
Theoretical density (Mg/m³): 2.706

Unit cell a=5.7742 b=5.7742 c=5.3649 alpha=90.00 beta=90.00 gamma=90.00
Last column: magnetic moment on the atom in μB.
Sites, in units of the cell vectors:
Sr 0.0000 0.0000 0.0000  0.05
P 0.0000 0.5000 0.0000  0.57
P 0.5000 0.0000 0.0000  0.57
Pd 0.5000 0.5000 0.5000  0.15
Cl 0.0000 0.0000 0.5000  0.10

***

Question: Among the records above, which one has the highest DOS at the Fermi energy?
Answer: SrP2PdCl

***

Copy entry 1 word for word.
The following is a DFT calculation (PBE-GGA) of an optimized crystal structure of SbPPdCl2.

Formation energy without anion corrections (kJ/mol of formula units): 99
DOS at the Fermi energy (states/eV per cell): 3.25
Space group: P4/mmm (123)
Calculated total energy (eV for the cell shown): -17.39
Theoretical density (Mg/m³): 4.932

Unit cell a=4.7273 b=4.9721 c=4.7273 alpha=90.00 beta=90.00 gamma=90.00
Sites, in units of the cell vectors:
Sb 0.5000 0.5000 0.5000
P 0.0000 0.5000 0.0000
Pd 0.0000 0.0000 0.0000
Cl 0.0000 0.0000 0.5000
Cl 0.5000 0.0000 0.0000

***

Question: Look up the formation energy without anion corrections of the fourth one.
Answer: -92 kJ/mol of formula units

***

Question: calculated total energy of number 7 (SnP2PdCl)?
Answer: -20.04 eV for the cell shown